1.
# Cs2TcC (GGA-PBEsol, optimized geometry)
data_Cs2TcC
_symmetry_space_group_name_H-M 'P 1'
_symmetry_Int_Tables_number 1
_cell_length_a 5.659
_cell_length_b 5.659
_cell_length_c 5.659
_cell_angle_alpha 60.00
_cell_angle_beta 60.00
_cell_angle_gamma 60.00
loop_
_symmetry_equiv_pos_as_xyz
'x,y,z'
loop_
_atom_site_label
_atom_site_type_symbol
_atom_site_fract_x
_atom_site_fract_y
_atom_site_fract_z
_atom_site_occupancy
Cs1 Cs 0.250 0.250 0.250 1
Cs2 Cs 0.750 0.750 0.750 1
Tc1 Tc 0.000 0.000 0.000 1
C1 C 0.500 0.500 0.500 1
# ΔH_f (0 K) = 10.81 eV/f.u.
# Space group = Fm-3m, No. 225
# Density of states at the Fermi level = 1.2298 states/eV per atom

=====

2.
# CsTe3C (GGA-PBEsol, optimized geometry)
data_CsTe3C
_symmetry_space_group_name_H-M 'P 1'
_symmetry_Int_Tables_number 1
_cell_length_a 5.059
_cell_length_b 5.059
_cell_length_c 5.059
_cell_angle_alpha 90.00
_cell_angle_beta 90.00
_cell_angle_gamma 90.00
loop_
_symmetry_equiv_pos_as_xyz
'x,y,z'
loop_
_atom_site_label
_atom_site_type_symbol
_atom_site_fract_x
_atom_site_fract_y
_atom_site_fract_z
_atom_site_occupancy
Cs1 Cs 0.000 0.000 0.000 1
Te1 Te 0.000 0.500 0.500 1
Te2 Te 0.500 0.000 0.500 1
Te3 Te 0.500 0.500 0.000 1
C1 C 0.500 0.500 0.500 1
# Space group = Pm-3m, No. 221
# E_form (uncorrected) = 0.6383 eV per atom
# Density of states at the Fermi level = 0.7559 states/eV per atom

=====

3.
# CsTe2C (GGA-PBEsol, optimized geometry)
data_CsTe2C
_symmetry_space_group_name_H-M 'P 1'
_symmetry_Int_Tables_number 1
_cell_length_a 6.934
_cell_length_b 6.934
_cell_length_c 6.934
_cell_angle_alpha 55.64
_cell_angle_beta 55.64
_cell_angle_gamma 55.64
loop_
_symmetry_equiv_pos_as_xyz
'x,y,z'
loop_
_atom_site_label
_atom_site_type_symbol
_atom_site_fract_x
_atom_site_fract_y
_atom_site_fract_z
_atom_site_occupancy
Cs1 Cs 0.000 0.000 0.000 1
Te1 Te 0.388 0.388 0.388 1
Te2 Te 0.612 0.612 0.612 1
C1 C 0.500 0.500 0.500 1
# Space group = R-3m, No. 166
# E_form (uncorrected) = 0.6044 eV per atom
# Density of states at the Fermi level = 0.3324 states/eV per atom

=====

4.
# CsTlC2 (GGA-PBEsol, optimized geometry)
data_CsTlC2
_symmetry_space_group_name_H-M 'P 1'
_symmetry_Int_Tables_number 1
_cell_length_a 4.774
_cell_length_b 4.774
_cell_length_c 4.774
_cell_angle_alpha 60.00
_cell_angle_beta 60.00
_cell_angle_gamma 60.00
loop_
_symmetry_equiv_pos_as_xyz
'x,y,z'
loop_
_atom_site_label
_atom_site_type_symbol
_atom_site_fract_x
_atom_site_fract_y
_atom_site_fract_z
_atom_site_occupancy
Cs1 Cs 0.000 0.000 0.000 1
Tl1 Tl 0.500 0.500 0.500 1
C1 C 0.250 0.250 0.250 1
C2 C 0.750 0.750 0.750 1
# ΔH_f (0 K) = 10.59 eV/f.u.
# Space group = Fm-3m, No. 225
# Density of states at the Fermi level = 0.6576 states/eV per atom

=====

Question: Which of these has the highest density of states at the Fermi level?
Answer: Cs2TcC